# Hg2WAu GGA-PBE optimized geometry
data_Hg2WAu
_symmetry_space_group_name_H-M 'C m m m'
_symmetry_Int_Tables_number 65
_symmetry_space_group_name_Hall '-C 2 2'
_cell_length_a 3.991
_cell_length_b 4.171
_cell_length_c 9.084
_cell_angle_alpha 90.00
_cell_angle_beta 90.00
_cell_angle_gamma 90.00
loop_
_atom_site_label
_atom_site_type_symbol
_atom_site_fract_x
_atom_site_fract_y
_atom_site_fract_z
Hg1 Hg 0.000 0.000 0.244
W1 W 0.000 0.500 0.000
Au1 Au 0.000 0.500 0.500
# - crystal system = orthorhombic
# - calculated total energy (eV/atom) = -3.653